This record from the Alexandria database describes a geometry-optimized Sr3MgHg structure. The functional is GGA-PBE.

## Properties
energy of formation = -0.02 eV/atom
volume = 48.69 A^3/atom

Cell: 6.2439 6.2439 6.2439 Å, 90.00 90.00 90.00°
Element x y z (fractional)
Sr: 0.0000 0.5000 0.0000
Sr: 0.0000 0.0000 0.5000
Sr: 0.5000 0.0000 0.0000
Mg: 0.5000 0.5000 0.5000
Hg: 0.0000 0.0000 0.0000